# 1
## KLiGeTe2 (PBE)

Data for a geometry-optimized KLiGeTe2 structure.

Uncorrected formation energy   -43.5 kJ per mole of atoms

Unit cell a=5.447 b=16.309 c=7.256 alpha=90.00 beta=90.00 gamma=90.00
Space group Cmme (No. 67)
Inequivalent atoms, fractional coordinates:
K: 0.000 0.250 0.246 (multiplicity 4)
Li: 0.250 0.000 0.500 (multiplicity 4)
Ge: 0.000 0.000 0.000 (multiplicity 4)
Te: 0.000 0.115 0.716 (multiplicity 8)

# 2
## ReHgPb3 (PBE)

Data for a geometry-optimized ReHgPb3 structure.

Formation energy   0.456 eV/atom
Energy above the lowest structure with this stoichiometry   0.0000 eV per atom

Unit cell a=5.370 b=5.370 c=5.370 alpha=90.00 beta=90.00 gamma=90.00
Space group Pm-3m (No. 221)
Inequivalent atoms, fractional coordinates:
Re: 0.000 0.000 0.000 (multiplicity 1)
Hg: 0.500 0.500 0.500 (multiplicity 1)
Pb: 0.000 0.000 0.500 (multiplicity 3)

# 3
## Ge4Mo9W3 (PBE)

Data for a geometry-optimized Ge4Mo9W3 structure.

Formation energy   -0.078 eV/atom

Unit cell a=4.972 b=4.959 c=10.009 alpha=90.00 beta=90.00 gamma=90.00
Space group Pm (No. 6)
Inequivalent atoms, fractional coordinates:
Ge: 0.000 0.000 0.000 (multiplicity 1)
Ge: 0.000 0.000 0.499 (multiplicity 1)
Ge: 0.502 0.500 0.246 (multiplicity 1)
Ge: 0.505 0.500 0.746 (multiplicity 1)
Mo: 0.002 0.500 0.123 (multiplicity 1)
Mo: 0.003 0.500 0.623 (multiplicity 1)
Mo: 0.252 0.000 0.249 (multiplicity 1)
Mo: 0.501 0.250 0.497 (multiplicity 2)
Mo: 0.501 0.250 0.996 (multiplicity 2)
Mo: 0.752 0.000 0.249 (multiplicity 1)
Mo: 0.752 0.000 0.749 (multiplicity 1)
W: 0.002 0.500 0.373 (multiplicity 1)
W: 0.004 0.500 0.873 (multiplicity 1)
W: 0.251 0.000 0.749 (multiplicity 1)

# 4
## HoLuPdPt (PBE)

Data for a geometry-optimized HoLuPdPt structure.

Formation energy   -1.124 eV/atom

Unit cell a=6.915 b=6.915 c=6.915 alpha=90.00 beta=90.00 gamma=90.00
Space group F-43m (No. 216)
Inequivalent atoms, fractional coordinates:
Ho: 0.000 0.000 0.000 (multiplicity 4)
Lu: 0.000 0.000 0.500 (multiplicity 4)
Pd: 0.250 0.250 0.750 (multiplicity 4)
Pt: 0.250 0.250 0.250 (multiplicity 4)

# 5
## Nd3PuN4 (PBE)

Data for a geometry-optimized Nd3PuN4 structure.

Uncorrected formation energy   -128.0 kJ per mole of atoms
Energy above the lowest structure with this stoichiometry   0.0127 eV per atom

Unit cell a=7.205 b=10.153 c=3.607 alpha=90.00 beta=90.00 gamma=90.00
Space group Cmmm (No. 65)
Inequivalent atoms, fractional coordinates:
Nd: 0.000 0.000 0.000 (multiplicity 2)
Nd: 0.250 0.250 0.500 (multiplicity 4)
Pu: 0.000 0.500 0.000 (multiplicity 2)
N: 0.000 0.261 0.000 (multiplicity 4)
N: 0.232 0.500 0.500 (multiplicity 4)

no.,calculated total energy (eV per cell)
1,-64.7
2,-21.6
3,-156.1
4,-99.3
5,-145.1